Entry 1:
# SmTaNi

A relaxed structure of SmTaNi (PBE-GGA, OQMD).

Values from the calculation:
**Energy above the most stable polymorph in this dataset**: 0.960 eV per atom
**M_tot**: 0.04 μB/f.u.
**E_form**: 1.443 eV/atom

abc: 6.360 6.360 6.360
angles: 90.00 90.00 90.00
Space group F-43m (No. 216)
Unique sites:
Sm 0.000 0.000 0.000 [4 per cell]
Ta 0.250 0.250 0.250 [4 per cell]
Ni 0.250 0.250 0.750 [4 per cell]

***

Entry 2:
# Cu7Ag3

A relaxed structure of Cu7Ag3 (PBE-GGA, OQMD).

Values from the calculation:
**Energy above the most stable polymorph in this dataset**: 0.046 eV per atom
**E_form**: 0.090 eV/atom

abc: 13.668 3.804 5.391
angles: 90.00 101.95 90.00
Space group C2/m (No. 12)
Unique sites:
Cu 0.000 0.000 0.000 [2 per cell]
Cu 0.097 0.500 0.799 [4 per cell]
Cu 0.099 0.500 0.302 [4 per cell]
Cu 0.200 0.000 0.596 [4 per cell]
Ag 0.000 0.000 0.500 [2 per cell]
Ag 0.197 0.000 0.105 [4 per cell]